## Ac3Ni2O9 (GGA+U)

Data for crystalline Ac3Ni2O9 at its relaxed geometry.

Values from the calculation:
space group: P-3m1, No. 164

Cell and atoms, written as CIF:
```
data_Ac3Ni2O9
_chemical_formula_sum 'Ac3 Ni2 O9'
_symmetry_space_group_name_H-M 'P 1'
_symmetry_Int_Tables_number 1
_cell_length_a 5.499
_cell_length_b 5.499
_cell_length_c 6.804
_cell_angle_alpha 90.00
_cell_angle_beta 90.00
_cell_angle_gamma 120.00
loop_
_symmetry_equiv_pos_as_xyz
'x,y,z'
loop_
_atom_site_label
_atom_site_fract_x
_atom_site_fract_y
_atom_site_fract_z
Ac1 0.000 0.000 0.000
Ac2 0.333 0.667 0.343
Ac3 0.667 0.333 0.657
Ni1 0.333 0.667 0.836
Ni2 0.667 0.333 0.164
O1 0.000 0.500 0.000
O2 0.177 0.354 0.680
O3 0.177 0.823 0.680
O4 0.354 0.177 0.320
O5 0.500 0.000 0.000
O6 0.500 0.500 0.000
O7 0.646 0.823 0.680
O8 0.823 0.177 0.320
O9 0.823 0.646 0.320
```

## Ac3Ni2O7 (GGA+U)

Data for crystalline Ac3Ni2O7 at its relaxed geometry.

Values from the calculation:
space group: I4/mmm, No. 139

Cell and atoms, written as CIF:
```
data_Ac3Ni2O7
_chemical_formula_sum 'Ac3 Ni2 O7'
_symmetry_space_group_name_H-M 'P 1'
_symmetry_Int_Tables_number 1
_cell_length_a 10.910
_cell_length_b 10.910
_cell_length_c 10.910
_cell_angle_alpha 159.17
_cell_angle_beta 159.17
_cell_angle_gamma 29.62
loop_
_symmetry_equiv_pos_as_xyz
'x,y,z'
loop_
_atom_site_label
_atom_site_fract_x
_atom_site_fract_y
_atom_site_fract_z
Ac1 0.000 0.000 0.000
Ac2 0.178 0.178 0.000
Ac3 0.822 0.822 0.000
Ni1 0.404 0.404 0.000
Ni2 0.596 0.596 0.000
O1 0.096 0.596 0.500
O2 0.298 0.298 0.000
O3 0.404 0.904 0.500
O4 0.500 0.500 0.000
O5 0.596 0.096 0.500
O6 0.702 0.702 0.000
O7 0.904 0.404 0.500
```

## AcNiO (GGA+U)

Data for crystalline AcNiO at its relaxed geometry.

Values from the calculation:
space group: P-6m2, No. 187

Cell and atoms, written as CIF:
```
data_AcNiO
_chemical_formula_sum 'Ac2 Ni2 O2'
_symmetry_space_group_name_H-M 'P 1'
_symmetry_Int_Tables_number 1
_cell_length_a 4.182
_cell_length_b 4.182
_cell_length_c 9.754
_cell_angle_alpha 90.00
_cell_angle_beta 90.00
_cell_angle_gamma 120.00
loop_
_symmetry_equiv_pos_as_xyz
'x,y,z'
loop_
_atom_site_label
_atom_site_fract_x
_atom_site_fract_y
_atom_site_fract_z
Ac1 0.000 0.000 0.233
Ac2 0.000 0.000 0.767
Ni1 0.000 0.000 0.500
Ni2 0.667 0.333 0.000
O1 0.667 0.333 0.198
O2 0.667 0.333 0.802
```

## Ac3Ni5O12 (GGA+U)

Data for crystalline Ac3Ni5O12 at its relaxed geometry.

Values from the calculation:
space group: Ia-3d, No. 230

Cell and atoms, written as CIF:
```
data_Ac3Ni5O12
_chemical_formula_sum 'Ac12 Ni20 O48'
_symmetry_space_group_name_H-M 'P 1'
_symmetry_Int_Tables_number 1
_cell_length_a 11.238
_cell_length_b 11.238
_cell_length_c 11.238
_cell_angle_alpha 109.47
_cell_angle_beta 109.47
_cell_angle_gamma 109.47
loop_
_symmetry_equiv_pos_as_xyz
'x,y,z'
loop_
_atom_site_label
_atom_site_fract_x
_atom_site_fract_y
_atom_site_fract_z
Ac1 0.125 0.250 0.375
Ac2 0.125 0.375 0.750
Ac3 0.250 0.375 0.125
Ac4 0.250 0.875 0.625
Ac5 0.375 0.125 0.250
Ac6 0.375 0.750 0.125
Ac7 0.625 0.250 0.875
Ac8 0.625 0.875 0.750
Ac9 0.750 0.125 0.375
Ac10 0.750 0.625 0.875
Ac11 0.875 0.625 0.250
Ac12 0.875 0.750 0.625
Ni1 0.000 0.000 0.000
Ni2 0.000 0.000 0.500
Ni3 0.000 0.500 0.000
Ni4 0.000 0.500 0.500
Ni5 0.125 0.750 0.875
Ni6 0.125 0.875 0.250
Ni7 0.250 0.125 0.875
Ni8 0.250 0.625 0.375
Ni9 0.375 0.250 0.625
Ni10 0.375 0.625 0.750
Ni11 0.500 0.000 0.000
Ni12 0.500 0.000 0.500
Ni13 0.500 0.500 0.000
Ni14 0.500 0.500 0.500
Ni15 0.625 0.375 0.250
Ni16 0.625 0.750 0.375
Ni17 0.750 0.375 0.625
Ni18 0.750 0.875 0.125
Ni19 0.875 0.125 0.750
Ni20 0.875 0.250 0.125
O1 0.017 0.201 0.118
O2 0.017 0.316 0.899
O3 0.083 0.701 0.684
O4 0.083 0.882 0.399
O5 0.101 0.618 0.417
O6 0.101 0.983 0.684
O7 0.118 0.017 0.201
O8 0.118 0.601 0.917
O9 0.184 0.201 0.583
O10 0.184 0.483 0.601
O11 0.201 0.118 0.017
O12 0.201 0.583 0.184
O13 0.299 0.316 0.917
O14 0.299 0.483 0.382
O15 0.316 0.899 0.017
O16 0.316 0.917 0.299
O17 0.382 0.299 0.483
O18 0.382 0.583 0.899
O19 0.399 0.083 0.882
O20 0.399 0.816 0.517
O21 0.417 0.101 0.618
O22 0.417 0.816 0.799
O23 0.483 0.382 0.299
O24 0.483 0.601 0.184
O25 0.517 0.399 0.816
O26 0.517 0.618 0.701
O27 0.583 0.184 0.201
O28 0.583 0.899 0.382
O29 0.601 0.184 0.483
O30 0.601 0.917 0.118
O31 0.618 0.417 0.101
O32 0.618 0.701 0.517
O33 0.684 0.083 0.701
O34 0.684 0.101 0.983
O35 0.701 0.517 0.618
O36 0.701 0.684 0.083
O37 0.799 0.417 0.816
O38 0.799 0.882 0.983
O39 0.816 0.517 0.399
O40 0.816 0.799 0.417
O41 0.882 0.399 0.083
O42 0.882 0.983 0.799
O43 0.899 0.017 0.316
O44 0.899 0.382 0.583
O45 0.917 0.118 0.601
O46 0.917 0.299 0.316
O47 0.983 0.684 0.101
O48 0.983 0.799 0.882
```

## Ac2NiO4 (GGA+U)

Data for crystalline Ac2NiO4 at its relaxed geometry.

Values from the calculation:
space group: I4/mmm, No. 139

Cell and atoms, written as CIF:
```
data_Ac2NiO4
_chemical_formula_sum 'Ac2 Ni1 O4'
_symmetry_space_group_name_H-M 'P 1'
_symmetry_Int_Tables_number 1
_cell_length_a 7.143
_cell_length_b 7.143
_cell_length_c 7.143
_cell_angle_alpha 147.69
_cell_angle_beta 147.69
_cell_angle_gamma 46.34
loop_
_symmetry_equiv_pos_as_xyz
'x,y,z'
loop_
_atom_site_label
_atom_site_fract_x
_atom_site_fract_y
_atom_site_fract_z
Ac1 0.136 0.136 0.000
Ac2 0.864 0.864 0.000
Ni1 0.500 0.500 0.000
O1 0.000 0.500 0.500
O2 0.325 0.325 0.000
O3 0.500 0.000 0.500
O4 0.675 0.675 0.000
```

## Ac2NiOsO6 (GGA+U)

Data for crystalline Ac2NiOsO6 at its relaxed geometry.

Values from the calculation:
space group: Fm-3m, No. 225

Cell and atoms, written as CIF:
```
data_Ac2NiOsO6
_chemical_formula_sum 'Ac2 Ni1 Os1 O6'
_symmetry_space_group_name_H-M 'P 1'
_symmetry_Int_Tables_number 1
_cell_length_a 5.694
_cell_length_b 5.694
_cell_length_c 5.694
_cell_angle_alpha 60.00
_cell_angle_beta 60.00
_cell_angle_gamma 60.00
loop_
_symmetry_equiv_pos_as_xyz
'x,y,z'
loop_
_atom_site_label
_atom_site_fract_x
_atom_site_fract_y
_atom_site_fract_z
Ac1 0.250 0.250 0.250
Ac2 0.750 0.750 0.750
Ni1 0.000 0.000 0.000
Os1 0.500 0.500 0.500
O1 0.251 0.251 0.749
O2 0.251 0.749 0.251
O3 0.251 0.749 0.749
O4 0.749 0.251 0.251
O5 0.749 0.251 0.749
O6 0.749 0.749 0.251
```

## Ac2NiOsO8 (GGA+U)

Data for crystalline Ac2NiOsO8 at its relaxed geometry.

Values from the calculation:
space group: P-1, No. 2

Cell and atoms, written as CIF:
```
data_Ac2NiOsO8
_chemical_formula_sum 'Ac2 Ni1 Os1 O8'
_symmetry_space_group_name_H-M 'P 1'
_symmetry_Int_Tables_number 1
_cell_length_a 4.403
_cell_length_b 5.454
_cell_length_c 7.280
_cell_angle_alpha 83.06
_cell_angle_beta 86.52
_cell_angle_gamma 82.87
loop_
_symmetry_equiv_pos_as_xyz
'x,y,z'
loop_
_atom_site_label
_atom_site_fract_x
_atom_site_fract_y
_atom_site_fract_z
Ac1 0.191 0.018 0.236
Ac2 0.809 0.982 0.764
Ni1 0.500 0.500 0.000
Os1 0.500 0.500 0.500
O1 0.201 0.757 0.554
O2 0.284 0.260 0.632
O3 0.293 0.823 0.944
O4 0.308 0.476 0.273
O5 0.692 0.524 0.727
O6 0.707 0.177 0.056
O7 0.716 0.740 0.368
O8 0.799 0.243 0.446
```

## AcNiOsO6 (GGA+U)

Data for crystalline AcNiOsO6 at its relaxed geometry.

Values from the calculation:
space group: P312, No. 149

Cell and atoms, written as CIF:
```
data_AcNiOsO6
_chemical_formula_sum 'Ac1 Ni1 Os1 O6'
_symmetry_space_group_name_H-M 'P 1'
_symmetry_Int_Tables_number 1
_cell_length_a 5.284
_cell_length_b 5.284
_cell_length_c 5.274
_cell_angle_alpha 90.00
_cell_angle_beta 90.00
_cell_angle_gamma 120.00
loop_
_symmetry_equiv_pos_as_xyz
'x,y,z'
loop_
_atom_site_label
_atom_site_fract_x
_atom_site_fract_y
_atom_site_fract_z
Ac1 0.000 0.000 0.000
Ni1 0.333 0.667 0.500
Os1 0.667 0.333 0.500
O1 0.386 0.022 0.705
O2 0.386 0.364 0.295
O3 0.636 0.022 0.295
O4 0.636 0.614 0.705
O5 0.978 0.364 0.705
O6 0.978 0.614 0.295
```

Spin magnetization for the records above, in order: 1.07; 3.00; 0.06; 51.40; 2.00; 4.01; 2.00; 2.98 Bohr magnetons per cell
Total DFT energy (no corrections) for the records above, in order: -90.2; -81.7; -29.0; -469.2; -49.3; -73.2; -85.0; -62.9 eV per cell